The following is a PBE+U calculation of an optimized crystal structure of V3Si3O10, from Alexandria.

Computed properties:
Total moment (μB per formula unit): 7.0
Fermi-level density of states (states/eV/atom): 0.051
VASP energy (eV per atom): -7.859

Cell: 4.8243 7.9476 10.6354 Å, 91.07 90.61 107.52°
Closest atoms and distances in Å follow each position.
Positions (direct):
V 0.0000 0.0000 0.0000  6 O 2.05-2.18
V 0.0831 0.1898 0.7235  4 O 1.89-2.11
V 0.3956 0.8024 0.7728  5 O 2.05-2.24
V 0.5000 0.0000 0.5000  6 O 2.01-2.16
V 0.6044 0.1976 0.2272  5 O 2.05-2.24
V 0.9169 0.8102 0.2765  4 O 1.89-2.11
Si 0.1581 0.2027 0.4154  4 O 1.62-1.70
Si 0.1958 0.4968 0.2454  4 O 1.59-1.70
Si 0.4646 0.8037 0.0912  4 O 1.63-1.69
Si 0.5354 0.1963 0.9088  4 O 1.63-1.69
Si 0.8042 0.5032 0.7546  4 O 1.59-1.70
Si 0.8419 0.7973 0.5846  4 O 1.62-1.70
O 0.0295 0.6340 0.8483  1 Si 1.59
O 0.0528 0.6231 0.3285  1 Si 1.63
O 0.1426 0.8266 0.1046  1 Si 1.63
O 0.1879 0.8204 0.5911  1 Si 1.62
O 0.2376 0.0319 0.3411  1 Si 1.70
O 0.2723 0.0344 0.8342  1 Si 1.69
O 0.2961 0.1838 0.5547  1 Si 1.65
O 0.3498 0.3770 0.3384  2 Si 1.65-1.70
O 0.3931 0.1793 0.0479  1 Si 1.63
O 0.4932 0.6347 0.1763  2 Si 1.67-1.70
O 0.5068 0.3653 0.8237  2 Si 1.67-1.70
O 0.6069 0.8207 0.9521  1 Si 1.63
O 0.6502 0.6230 0.6616  2 Si 1.65-1.70
O 0.7039 0.8162 0.4453  1 Si 1.65
O 0.7277 0.9656 0.1658  1 Si 1.69
O 0.7624 0.9681 0.6589  1 Si 1.70
O 0.8121 0.1796 0.4089  1 Si 1.62
O 0.8574 0.1734 0.8954  1 Si 1.63
O 0.9472 0.3769 0.6715  1 Si 1.63
O 0.9705 0.3660 0.1517  1 Si 1.59